1:
The following is a PBE-GGA calculation of an optimized crystal structure of TmSc, from Alexandria via LeMat-Bulk.

a b c (Å): 3.792 3.792 3.792
angles (deg): 90.00 90.00 90.00
Sites, in units of the cell vectors:
Sc (0.500, 0.500, 0.500)
Tm (0.000, 0.000, 0.000)

***

2:
The following is a PBE-GGA calculation of an optimized crystal structure of TmSc, from Alexandria via LeMat-Bulk.

a b c (Å): 3.380 5.832 5.848
angles (deg): 80.27 106.80 90.00
Sites, in units of the cell vectors:
Tm (0.623, 0.629, 0.246)
Tm (0.377, 0.371, 0.754)
Sc (0.872, 0.878, 0.745)
Sc (0.128, 0.122, 0.255)

***

3:
The following is a PBE-GGA calculation of an optimized crystal structure of TmSc, from Alexandria via LeMat-Bulk.

a b c (Å): 3.346 5.198 6.490
angles (deg): 90.00 104.88 90.00
Sites, in units of the cell vectors:
Sc (0.062, 0.250, 0.625)
Sc (0.938, 0.750, 0.375)
Tm (0.670, 0.750, 0.842)
Tm (0.330, 0.250, 0.158)

***

4:
The following is a PBE-GGA calculation of an optimized crystal structure of TmSc, from Alexandria via LeMat-Bulk.

a b c (Å): 5.937 3.447 5.346
angles (deg): 90.00 90.00 90.00
Sites, in units of the cell vectors:
Tm (0.087, 0.250, 0.250)
Tm (0.913, 0.750, 0.750)
Sc (0.418, 0.250, 0.750)
Sc (0.582, 0.750, 0.250)

***

So which one wins? Going from most stable to least: 4, 3, 2, 1.

***

1:
The following is a PBE-GGA calculation of an optimized crystal structure of TmSc2, from Alexandria via LeMat-Bulk.

a b c (Å): 5.881 5.881 6.278
angles (deg): 90.06 117.80 120.07
Sites, in units of the cell vectors:
Tm (0.662, 0.912, 0.750)
Tm (0.338, 0.088, 0.250)
Sc (0.005, 0.584, 0.754)
Sc (0.995, 0.416, 0.246)
Sc (0.330, 0.251, 0.746)
Sc (0.670, 0.749, 0.254)

***

2:
The following is a PBE-GGA calculation of an optimized crystal structure of TmSc2, from Alexandria via LeMat-Bulk.

a b c (Å): 3.343 3.343 7.430
angles (deg): 103.00 103.00 90.00
Sites, in units of the cell vectors:
Sc (0.671, 0.671, 0.342)
Sc (0.329, 0.329, 0.658)
Tm (0.000, 0.000, 0.000)

***

So which one wins? Going from most stable to least: 1, 2.

***

1:
The following is a PBE-GGA calculation of an optimized crystal structure of Tm7Sc5, from Alexandria via LeMat-Bulk.

a b c (Å): 4.796 7.592 10.183
angles (deg): 72.69 76.38 71.59
Sites, in units of the cell vectors:
Tm (0.999, 0.005, 0.997)
Tm (0.415, 0.923, 0.247)
Tm (0.832, 0.834, 0.502)
Tm (0.249, 0.746, 0.755)
Tm (0.089, 0.579, 0.243)
Tm (0.501, 0.496, 0.503)
Tm (0.165, 0.167, 0.504)
Sc (0.671, 0.661, 0.998)
Sc (0.916, 0.413, 0.754)
Sc (0.333, 0.337, 0.997)
Sc (0.751, 0.254, 0.244)
Sc (0.579, 0.086, 0.756)

***

2:
The following is a PBE-GGA calculation of an optimized crystal structure of Tm7Sc5, from Alexandria via LeMat-Bulk.

a b c (Å): 5.351 5.345 14.043
angles (deg): 100.95 90.00 120.04
Sites, in units of the cell vectors:
Tm (0.225, 0.449, 0.671)
Tm (0.775, 0.551, 0.329)
Tm (0.069, 0.138, 0.212)
Tm (0.931, 0.862, 0.788)
Tm (0.691, 0.382, 0.074)
Tm (0.500, 0.000, 0.500)
Tm (0.309, 0.618, 0.926)
Sc (0.147, 0.294, 0.443)
Sc (0.853, 0.706, 0.557)
Sc (0.394, 0.789, 0.187)
Sc (0.606, 0.211, 0.813)
Sc (0.000, 0.000, 0.000)

***

So which one wins? Going from most stable to least: 1, 2.

***

1:
The following is a PBE-GGA calculation of an optimized crystal structure of Tm2Sc7, from Alexandria via LeMat-Bulk.

a b c (Å): 6.106 6.106 15.763
angles (deg): 78.83 78.83 60.00
Sites, in units of the cell vectors:
Tm (0.056, 0.056, 0.832)
Tm (0.944, 0.944, 0.168)
Tm (0.155, 0.155, 0.536)
Tm (0.845, 0.845, 0.464)
Sc (0.500, 0.500, 0.500)
Sc (0.277, 0.277, 0.168)
Sc (0.723, 0.723, 0.832)
Sc (0.389, 0.389, 0.833)
Sc (0.611, 0.611, 0.167)
Sc (0.500, 0.000, 0.000)
Sc (0.000, 0.500, 0.000)
Sc (0.500, 0.500, 0.000)
Sc (0.614, 0.614, 0.665)
Sc (0.614, 0.108, 0.665)
Sc (0.108, 0.614, 0.665)
Sc (0.386, 0.386, 0.335)
Sc (0.386, 0.892, 0.335)
Sc (0.892, 0.386, 0.335)

***

2:
The following is a PBE-GGA calculation of an optimized crystal structure of Tm2Sc7, from Alexandria via LeMat-Bulk.

a b c (Å): 5.730 5.730 8.114
angles (deg): 90.00 90.00 120.00
Sites, in units of the cell vectors:
Tm (0.333, 0.667, 0.000)
Tm (0.667, 0.333, 0.000)
Sc (0.000, 0.000, 0.000)
Sc (0.669, 0.000, 0.339)
Sc (0.000, 0.669, 0.339)
Sc (0.331, 0.331, 0.339)
Sc (0.000, 0.331, 0.661)
Sc (0.331, 0.000, 0.661)
Sc (0.669, 0.669, 0.661)

***

So which one wins? Going from most stable to least: 2, 1.

***

1:
The following is a PBE-GGA calculation of an optimized crystal structure of Tm4Sc5, from Alexandria via LeMat-Bulk.

a b c (Å): 6.611 9.172 9.172
angles (deg): 120.00 90.00 90.00
Sites, in units of the cell vectors:
Tm (0.000, 0.000, 0.000)
Tm (0.500, 0.000, 0.000)
Tm (0.750, 0.363, 0.363)
Tm (0.750, 0.000, 0.637)
Tm (0.750, 0.637, 0.000)
Tm (0.250, 0.637, 0.637)
Tm (0.250, 0.000, 0.363)
Tm (0.250, 0.363, 0.000)
Sc (0.750, 0.692, 0.692)
Sc (0.750, 0.000, 0.308)
Sc (0.750, 0.308, 0.000)
Sc (0.250, 0.308, 0.308)
Sc (0.250, 0.000, 0.692)
Sc (0.250, 0.692, 0.000)
Sc (0.000, 0.667, 0.333)
Sc (0.500, 0.333, 0.667)
Sc (0.000, 0.333, 0.667)
Sc (0.500, 0.667, 0.333)

***

2:
The following is a PBE-GGA calculation of an optimized crystal structure of Tm4Sc5, from Alexandria via LeMat-Bulk.

a b c (Å): 4.768 7.510 7.510
angles (deg): 84.22 71.49 71.49
Sites, in units of the cell vectors:
Tm (0.673, 0.327, 0.327)
Tm (0.327, 0.673, 0.673)
Tm (0.000, 0.673, 0.327)
Tm (0.000, 0.327, 0.673)
Sc (0.000, 0.000, 0.000)
Sc (0.664, 0.000, 0.672)
Sc (0.336, 0.000, 0.328)
Sc (0.336, 0.328, 0.000)
Sc (0.664, 0.672, 0.000)

***

So which one wins? Going from most stable to least: 2, 1.

***

1:
The following is a PBE-GGA calculation of an optimized crystal structure of Tm7Sc3, from Alexandria via LeMat-Bulk.

a b c (Å): 6.179 10.449 10.449
angles (deg): 120.00 90.00 90.00
Each line ends with the local moment (μB).
Sites, in units of the cell vectors:
Tm (0.021, 0.667, 0.333)  0.08
Tm (0.521, 0.333, 0.667)  0.08
Tm (0.882, 0.880, 0.759)  0.24
Tm (0.882, 0.880, 0.120)  0.24
Tm (0.882, 0.241, 0.120)  0.24
Tm (0.382, 0.120, 0.241)  0.24
Tm (0.382, 0.120, 0.880)  0.24
Tm (0.382, 0.759, 0.880)  0.24
Tm (0.212, 0.471, 0.941)  0.05
Tm (0.212, 0.471, 0.529)  0.05
Tm (0.212, 0.059, 0.529)  0.05
Tm (0.712, 0.529, 0.059)  0.05
Tm (0.712, 0.529, 0.471)  0.05
Tm (0.712, 0.941, 0.471)  0.05
Sc (0.868, 0.211, 0.421)  0.15
Sc (0.868, 0.211, 0.789)  0.15
Sc (0.868, 0.579, 0.789)  0.15
Sc (0.368, 0.789, 0.579)  0.15
Sc (0.368, 0.789, 0.211)  0.15
Sc (0.368, 0.421, 0.211)  0.15

***

2:
The following is a PBE-GGA calculation of an optimized crystal structure of Tm7Sc3, from Alexandria via LeMat-Bulk.

a b c (Å): 4.825 6.849 9.050
angles (deg): 101.12 105.46 90.00
Sites, in units of the cell vectors:
Tm (0.000, 0.500, 0.000)
Tm (0.800, 0.897, 0.599)
Tm (0.200, 0.103, 0.401)
Tm (0.602, 0.302, 0.203)
Tm (0.398, 0.698, 0.797)
Tm (0.599, 0.800, 0.199)
Tm (0.401, 0.200, 0.801)
Sc (0.000, 0.000, 0.000)
Sc (0.798, 0.400, 0.597)
Sc (0.202, 0.600, 0.403)

***

So which one wins? Going from most stable to least: 2, 1.

***

1:
The following is a PBE-GGA calculation of an optimized crystal structure of Tm2Sc5, from Alexandria via LeMat-Bulk.

a b c (Å): 5.286 5.286 8.195
angles (deg): 71.18 71.18 60.00
Sites, in units of the cell vectors:
Tm (0.639, 0.639, 0.083)
Tm (0.361, 0.361, 0.917)
Sc (0.073, 0.073, 0.780)
Sc (0.789, 0.789, 0.634)
Sc (0.500, 0.500, 0.500)
Sc (0.211, 0.211, 0.366)
Sc (0.927, 0.927, 0.220)

***

2:
The following is a PBE-GGA calculation of an optimized crystal structure of Tm2Sc5, from Alexandria via LeMat-Bulk.

a b c (Å): 4.698 5.749 7.458
angles (deg): 97.49 90.00 114.12
Sites, in units of the cell vectors:
Tm (0.072, 0.144, 0.217)
Tm (0.928, 0.856, 0.783)
Sc (0.356, 0.711, 0.071)
Sc (0.644, 0.289, 0.929)
Sc (0.214, 0.428, 0.643)
Sc (0.500, 0.000, 0.500)
Sc (0.786, 0.572, 0.357)

***

So which one wins? Going from most stable to least: 2, 1.

***

1:
The following is a PBE-GGA calculation of an optimized crystal structure of Tm4Sc3, from Alexandria via LeMat-Bulk.

a b c (Å): 3.452 11.965 11.965
angles (deg): 120.00 90.00 90.00
Sites, in units of the cell vectors:
Tm (0.750, 0.333, 0.667)
Tm (0.250, 0.667, 0.333)
Tm (0.750, 0.768, 0.676)
Tm (0.750, 0.908, 0.232)
Tm (0.750, 0.324, 0.092)
Tm (0.250, 0.232, 0.324)
Tm (0.250, 0.092, 0.768)
Tm (0.250, 0.676, 0.908)
Sc (0.750, 0.906, 0.512)
Sc (0.750, 0.606, 0.094)
Sc (0.750, 0.488, 0.394)
Sc (0.250, 0.094, 0.488)
Sc (0.250, 0.394, 0.906)
Sc (0.250, 0.512, 0.606)

***

2:
The following is a PBE-GGA calculation of an optimized crystal structure of Tm4Sc3, from Alexandria via LeMat-Bulk.

a b c (Å): 3.411 4.744 12.283
angles (deg): 101.13 97.98 90.00
Sites, in units of the cell vectors:
Tm (0.713, 0.213, 0.425)
Tm (0.287, 0.787, 0.575)
Tm (0.429, 0.929, 0.858)
Tm (0.571, 0.071, 0.142)
Sc (0.858, 0.358, 0.716)
Sc (0.000, 0.500, 0.000)
Sc (0.142, 0.642, 0.284)

***

So which one wins? Going from most stable to least: 2, 1.